# 1
Te2MoWS2 | PBE | optimized geometry

Calculated values
total moment = 0.0 μB per cell
energy above the lowest structure with this stoichiometry = 37 meV per atom
VASP energy = -81.855 eV for the cell shown

Cell lengths 3.3579, 3.3579, 37.9706 Å; angles 90.00, 90.00, 120.00 degrees
Space group P3m1 (No. 156)
Symmetry-distinct sites (fractional):
Te 0.0000 0.0000 0.0000 (multiplicity 1)
Te 0.0000 0.0000 0.1003 (multiplicity 1)
Te 0.0000 0.0000 0.3850 (multiplicity 1)
Te 0.0000 0.0000 0.4846 (multiplicity 1)
Mo 0.0000 0.0000 0.8604 (multiplicity 1)
Mo 0.3333 0.6667 0.4348 (multiplicity 1)
W 0.0000 0.0000 0.2417 (multiplicity 1)
W 0.3333 0.6667 0.0502 (multiplicity 1)
S 0.3333 0.6667 0.2018 (multiplicity 1)
S 0.3333 0.6667 0.2817 (multiplicity 1)
S 0.3333 0.6667 0.8205 (multiplicity 1)
S 0.3333 0.6667 0.9002 (multiplicity 1)

=====

# 2
Te4MoW2S2 | PBE | optimized geometry

Calculated values
total moment = 0.0 μB per cell
energy above the lowest structure with this stoichiometry = 0 meV per atom
VASP energy = -60.451 eV for the cell shown

Cell lengths 3.4177, 3.4177, 22.9361 Å; angles 90.00, 90.00, 120.00 degrees
Space group P3m1 (No. 156)
Symmetry-distinct sites (fractional):
Te 0.0000 0.0000 0.0000 (multiplicity 1)
Te 0.0000 0.0000 0.1627 (multiplicity 1)
Te 0.6667 0.3333 0.3327 (multiplicity 1)
Te 0.6667 0.3333 0.4963 (multiplicity 1)
Mo 0.6667 0.3333 0.0813 (multiplicity 1)
W 0.0000 0.0000 0.4145 (multiplicity 1)
W 0.6667 0.3333 0.7300 (multiplicity 1)
S 0.0000 0.0000 0.6646 (multiplicity 1)
S 0.0000 0.0000 0.7954 (multiplicity 1)

=====

# 3
Te2MoWS2 | PBE | optimized geometry

Calculated values
total moment = 0.0 μB per cell
energy above the lowest structure with this stoichiometry = 37 meV per atom
VASP energy = -81.861 eV for the cell shown

Cell lengths 3.3579, 3.3579, 34.6610 Å; angles 90.00, 90.00, 120.00 degrees
Space group P3m1 (No. 156)
Symmetry-distinct sites (fractional):
Te 0.0000 0.0000 0.0000 (multiplicity 1)
Te 0.0000 0.0000 0.1092 (multiplicity 1)
Te 0.0000 0.0000 0.4194 (multiplicity 1)
Te 0.0000 0.0000 0.5293 (multiplicity 1)
Mo 0.0000 0.0000 0.2610 (multiplicity 1)
Mo 0.3333 0.6667 0.0546 (multiplicity 1)
W 0.0000 0.0000 0.8393 (multiplicity 1)
W 0.3333 0.6667 0.4743 (multiplicity 1)
S 0.3333 0.6667 0.2174 (multiplicity 1)
S 0.3333 0.6667 0.3046 (multiplicity 1)
S 0.3333 0.6667 0.7956 (multiplicity 1)
S 0.3333 0.6667 0.8831 (multiplicity 1)

=====

# 4
Te4Mo2WS2 | PBE | optimized geometry

Calculated values
total moment = 0.0 μB per cell
energy above the lowest structure with this stoichiometry = 46 meV per atom
VASP energy = -58.513 eV for the cell shown

Cell lengths 3.4248, 3.4248, 25.0900 Å; angles 90.00, 90.00, 120.00 degrees
Space group P3m1 (No. 156)
Symmetry-distinct sites (fractional):
Te 0.0000 0.0000 0.0000 (multiplicity 1)
Te 0.0000 0.0000 0.1493 (multiplicity 1)
Te 0.3333 0.6667 0.3051 (multiplicity 1)
Te 0.3333 0.6667 0.4536 (multiplicity 1)
Mo 0.0000 0.0000 0.3794 (multiplicity 1)
Mo 0.0000 0.0000 0.7863 (multiplicity 1)
W 0.3333 0.6667 0.0747 (multiplicity 1)
S 0.3333 0.6667 0.7267 (multiplicity 1)
S 0.3333 0.6667 0.8459 (multiplicity 1)

=====

# 5
Te4Mo2WS2 | PBE | optimized geometry

Calculated values
total moment = 0.0 μB per cell
energy above the lowest structure with this stoichiometry = 1 meV per atom
VASP energy = -58.919 eV for the cell shown

Cell lengths 3.4145, 3.4145, 28.1672 Å; angles 90.00, 90.00, 120.00 degrees
Space group P-6m2 (No. 187)
Symmetry-distinct sites (fractional):
Te 0.0000 0.0000 0.1773 (multiplicity 2)
Te 0.0000 0.0000 0.3098 (multiplicity 2)
Mo 0.6667 0.3333 0.2435 (multiplicity 2)
W 0.0000 0.0000 0.5000 (multiplicity 1)
S 0.6667 0.3333 0.4467 (multiplicity 2)

=====

# 6
Te4MoW2S2 | PBE | optimized geometry

Calculated values
total moment = 0.0 μB per cell
energy above the lowest structure with this stoichiometry = 1 meV per atom
VASP energy = -60.446 eV for the cell shown

Cell lengths 3.4179, 3.4179, 25.6153 Å; angles 90.00, 90.00, 120.00 degrees
Space group P3m1 (No. 156)
Symmetry-distinct sites (fractional):
Te 0.0000 0.0000 0.0000 (multiplicity 1)
Te 0.0000 0.0000 0.1457 (multiplicity 1)
Te 0.3333 0.6667 0.7015 (multiplicity 1)
Te 0.3333 0.6667 0.8480 (multiplicity 1)
Mo 0.3333 0.6667 0.0729 (multiplicity 1)
W 0.0000 0.0000 0.7747 (multiplicity 1)
W 0.3333 0.6667 0.4915 (multiplicity 1)
S 0.0000 0.0000 0.4330 (multiplicity 1)
S 0.0000 0.0000 0.5501 (multiplicity 1)